A geometry-optimized FeCuPdO2 structure. Source: Alexandria via LeMat-Bulk, functional PBE with a Hubbard U.

Calculated total energy, Ha/atom: -0.1817
Space-group type: No. 123

Cell lengths 3.698, 3.698, 4.843 Å; angles 90.00, 90.00, 90.00 degrees
Positions (direct):
Fe 0.000 0.000 0.000
Cu 0.000 0.000 0.500
Pd 0.500 0.500 0.500
O 0.000 0.500 0.000
O 0.500 0.000 0.000